Entry 1:
An optimized crystal structure of CuOs2Ru, computed with PBE.

a = 2.748 Å, b = 4.523 Å, c = 4.533 Å
α = 90.00°, β = 90.00°, γ = 90.00°
Fractional positions:
Cu1 0.000 0.000 0.000
Os1 0.000 0.500 0.500
Os2 0.500 0.000 0.500
Ru1 0.500 0.500 0.000

Properties
relative energy among the computed polymorphs: 339 meV per atom
calculated formation energy: 0.5464 eV/atom
Fermi-level density of states: 1.2474 states/eV per atom
calculated volume: 14.08 Å³/atom

=====

Entry 2:
An optimized crystal structure of BeZn2O, computed with PBE.

a = 4.124 Å, b = 4.124 Å, c = 4.124 Å
α = 60.00°, β = 60.00°, γ = 60.00°
Fractional positions:
Be1 0.000 0.000 0.000
Zn1 0.250 0.250 0.250
Zn2 0.750 0.750 0.750
O1 0.500 0.500 0.500

Properties
relative energy among the computed polymorphs: 665 meV per atom
Fermi-level density of states: 0.8188 states/eV per atom
calculated volume: 12.40 Å³/atom

=====

Entry 3:
An optimized crystal structure of CaVAsBr2, computed with PBE.

a = 5.154 Å, b = 5.154 Å, c = 4.943 Å
α = 90.00°, β = 90.00°, γ = 90.00°
Fractional positions:
Ca1 0.000 0.000 0.000
V1 0.500 0.500 0.500
As1 0.500 0.500 0.000
Br1 0.000 0.500 0.500
Br2 0.500 0.000 0.500

Properties
relative energy among the computed polymorphs: 0 meV per atom
Fermi-level density of states: 0.4321 states/eV per atom
calculated volume: 26.26 Å³/atom

=====

Entry 4:
An optimized crystal structure of Sm2HoGaN, computed with PBE.

a = 4.897 Å, b = 4.897 Å, c = 4.721 Å
α = 90.00°, β = 90.00°, γ = 90.00°
Fractional positions:
Sm1 0.000 0.500 0.000
Sm2 0.500 0.000 0.000
Ho1 0.000 0.000 0.500
Ga1 0.500 0.500 0.500
N1 0.000 0.000 0.000

Properties
Fermi-level density of states: 0.4552 states/eV per atom
calculated volume: 22.65 Å³/atom
calculated total energy: -29.9 eV/f.u.

=====

Entry 5:
An optimized crystal structure of SrHfHg2, computed with PBE.

a = 6.814 Å, b = 6.814 Å, c = 6.814 Å
α = 106.84°, β = 106.84°, γ = 114.87°
Fractional positions:
Sr1 0.000 0.000 0.000
Sr2 0.750 0.250 0.500
Hf1 0.250 0.750 0.500
Hf2 0.500 0.500 0.000
Hg1 0.170 0.625 0.045
Hg2 0.375 0.420 0.545
Hg3 0.580 0.125 0.955
Hg4 0.875 0.830 0.455

Properties
relative energy among the computed polymorphs: 333 meV per atom
calculated formation energy: 0.1623 eV/atom
Fermi-level density of states: 0.3415 states/eV per atom
calculated volume: 30.23 Å³/atom

=====

Entry 6:
An optimized crystal structure of SmNbOs4, computed with PBE.

a = 5.285 Å, b = 5.285 Å, c = 5.285 Å
α = 60.00°, β = 60.00°, γ = 60.00°
Fractional positions:
Sm1 0.000 0.000 0.000
Nb1 0.250 0.250 0.250
Os1 0.125 0.625 0.625
Os2 0.625 0.125 0.625
Os3 0.625 0.625 0.125
Os4 0.625 0.625 0.625

Properties
calculated formation energy: 0.0021 eV/atom
Fermi-level density of states: 0.7048 states/eV per atom
calculated volume: 17.40 Å³/atom

=====

Entry 7:
An optimized crystal structure of Pb4Se2SCl, computed with PBE.

a = 7.164 Å, b = 4.280 Å, c = 8.033 Å
α = 90.00°, β = 108.42°, γ = 90.00°
Fractional positions:
Pb1 0.246 0.000 0.241
Pb2 0.253 0.500 0.762
Pb3 0.747 0.500 0.238
Pb4 0.754 0.000 0.759
Se1 0.500 0.000 0.000
Se2 0.500 0.500 0.500
S1 0.000 0.500 0.000
Cl1 0.000 0.000 0.500

Properties
Fermi-level density of states: 0.2235 states/eV per atom
calculated volume: 29.21 Å³/atom
calculated total energy: -32.2 eV/f.u.

=====

Entry 8:
An optimized crystal structure of AgPdIO2, computed with PBE.

a = 3.938 Å, b = 3.938 Å, c = 7.490 Å
α = 90.00°, β = 90.00°, γ = 90.00°
Fractional positions:
Ag1 0.000 0.000 0.000
Pd1 0.500 0.500 0.500
I1 0.500 0.500 0.000
O1 0.000 0.500 0.500
O2 0.500 0.000 0.500

Properties
relative energy among the computed polymorphs: 0 meV per atom
Fermi-level density of states: 0.1566 states/eV per atom
calculated volume: 23.23 Å³/atom

=====

Entry 9:
An optimized crystal structure of ZnN2Cl, computed with PBE.

a = 6.040 Å, b = 6.040 Å, c = 6.040 Å
α = 32.48°, β = 32.48°, γ = 32.48°
Fractional positions:
Zn1 0.000 0.000 0.000
N1 0.109 0.109 0.109
N2 0.891 0.891 0.891
Cl1 0.500 0.500 0.500

Properties
relative energy among the computed polymorphs: 726 meV per atom
Fermi-level density of states: 0.3468 states/eV per atom
calculated volume: 14.13 Å³/atom

=====

Entry 10:
An optimized crystal structure of ScRuBr2, computed with PBE.

a = 3.311 Å, b = 4.308 Å, c = 5.610 Å
α = 90.00°, β = 90.00°, γ = 90.00°
Fractional positions:
Sc1 0.000 0.000 0.000
Ru1 0.500 0.000 0.500
Br1 0.000 0.500 0.500
Br2 0.500 0.500 0.000

Properties
relative energy among the computed polymorphs: 568 meV per atom
Fermi-level density of states: 1.1163 states/eV per atom
calculated volume: 20.01 Å³/atom

=====

Entry 11:
An optimized crystal structure of Ac4TlRh, computed with PBE.

a = 8.970 Å, b = 8.970 Å, c = 6.745 Å
α = 104.47°, β = 104.47°, γ = 114.67°
Fractional positions:
Ac1 0.065 0.701 0.920
Ac2 0.205 0.337 0.673
Ac3 0.299 0.935 0.580
Ac4 0.337 0.205 0.173
Ac5 0.663 0.795 0.827
Ac6 0.701 0.065 0.420
Ac7 0.795 0.663 0.327
Ac8 0.935 0.299 0.080
Tl1 0.377 0.623 0.250
Tl2 0.623 0.377 0.750
Rh1 0.004 0.996 0.750
Rh2 0.996 0.004 0.250

Properties
relative energy among the computed polymorphs: 53 meV per atom
calculated formation energy: -0.3439 eV/atom
Fermi-level density of states: 1.0850 states/eV per atom
calculated volume: 36.43 Å³/atom

=====

| no. | M_tot (Bohr magnetons per cell) |
| --- | --- |
| 1 | 0.00 |
| 2 | 0.38 |
| 3 | 2.00 |
| 4 | 0.00 |
| 5 | 0.00 |
| 6 | 0.00 |
| 7 | 0.00 |
| 8 | 2.05 |
| 9 | 0.00 |
| 10 | 0.18 |
| 11 | 0.00 |